# 1
The following is a PBE-GGA calculation of a relaxed Dy3Rh8Pb crystal, from Alexandria via LeMat-Bulk.

**E_form**: -583 meV/atom
**DOS at the Fermi energy**: 0.65 states/eV/atom
**Electronic total energy**: -6.944 eV per atom
**Spin magnetization**: 0.00 μB per formula unit

a b c (Å): 9.2807 9.2807 9.2807
angles (deg): 33.33 33.33 33.33
Sites, in units of the cell vectors:
Dy 0.0000 0.0000 0.0000
Dy 0.1277 0.1277 0.1277
Dy 0.5068 0.5068 0.5068
Rh 0.0658 0.0658 0.5636
Rh 0.0658 0.5636 0.0658
Rh 0.0666 0.5669 0.5669
Rh 0.3158 0.3158 0.3158
Rh 0.5636 0.0658 0.0658
Rh 0.5669 0.0666 0.5669
Rh 0.5669 0.5669 0.0666
Rh 0.8161 0.8161 0.8161
Pb 0.6295 0.6295 0.6295

# 2
The following is a PBE-GGA calculation of a relaxed Dy2Rh4Pb3 crystal, from Alexandria via LeMat-Bulk.

**E_form**: -432 meV/atom
**DOS at the Fermi energy**: 0.57 states/eV/atom
**Electronic total energy**: -5.958 eV per atom
**Spin magnetization**: 0.00 μB per formula unit

a b c (Å): 9.2537 9.2537 7.1087
angles (deg): 90.00 90.00 141.35
Sites, in units of the cell vectors:
Dy 0.0981 0.9019 0.9125
Dy 0.4019 0.5981 0.4125
Dy 0.5981 0.4019 0.5875
Dy 0.9019 0.0981 0.0875
Rh 0.1580 0.8420 0.5421
Rh 0.1732 0.3268 0.7500
Rh 0.3268 0.1732 0.2500
Rh 0.3420 0.6580 0.0421
Rh 0.6580 0.3420 0.9579
Rh 0.6732 0.8268 0.7500
Rh 0.8268 0.6732 0.2500
Rh 0.8420 0.1580 0.4579
Pb 0.0000 0.0000 0.5000
Pb 0.0143 0.4857 0.7500
Pb 0.4857 0.0143 0.2500
Pb 0.5000 0.5000 0.0000
Pb 0.5143 0.9857 0.7500
Pb 0.9857 0.5143 0.2500

# 3
The following is a PBE-GGA calculation of a relaxed Dy5Rh4Pb crystal, from Alexandria via LeMat-Bulk.

**E_form**: -792 meV/atom
**DOS at the Fermi energy**: 0.41 states/eV/atom
**Electronic total energy**: -6.405 eV per atom
**Spin magnetization**: 0.00 μB per formula unit

a b c (Å): 3.3718 3.3718 19.1074
angles (deg): 90.00 90.00 90.00
Sites, in units of the cell vectors:
Dy 0.0000 0.0000 0.0000
Dy 0.0000 0.0000 0.1855
Dy 0.0000 0.0000 0.3695
Dy 0.0000 0.0000 0.6305
Dy 0.0000 0.0000 0.8145
Rh 0.5000 0.5000 0.0926
Rh 0.5000 0.5000 0.2795
Rh 0.5000 0.5000 0.7205
Rh 0.5000 0.5000 0.9074
Pb 0.5000 0.5000 0.5000

# 4
The following is a PBE-GGA calculation of a relaxed Dy2Rh3Pb crystal, from Alexandria via LeMat-Bulk.

**E_form**: -470 meV/atom
**Distance to the lowest polymorph of the same formula**: 0.189 eV per atom
**DOS at the Fermi energy**: 0.43 states/eV/atom
**Electronic total energy**: -6.297 eV per atom
**Spin magnetization**: 0.00 μB per formula unit

a b c (Å): 7.3330 7.3330 6.6740
angles (deg): 103.41 103.41 44.70
Sites, in units of the cell vectors:
Dy 0.1662 0.1822 0.0840
Dy 0.1822 0.1662 0.5840
Dy 0.8178 0.8338 0.4160
Dy 0.8338 0.8178 0.9160
Rh 0.1892 0.8108 0.2500
Rh 0.3459 0.3599 0.4222
Rh 0.3599 0.3459 0.9222
Rh 0.6401 0.6541 0.0778
Rh 0.6541 0.6401 0.5778
Rh 0.8108 0.1892 0.7500
Pb 0.3020 0.6980 0.7500
Pb 0.6980 0.3020 0.2500

# 5
The following is a PBE-GGA calculation of a relaxed DyRh3Pb crystal, from Alexandria via LeMat-Bulk.

**E_form**: -326 meV/atom
**DOS at the Fermi energy**: 0.80 states/eV/atom
**Electronic total energy**: -6.399 eV per atom
**Spin magnetization**: 0.00 μB per formula unit

a b c (Å): 6.5686 6.5686 6.5686
angles (deg): 129.51 109.63 91.60
Sites, in units of the cell vectors:
Dy 0.2703 0.0203 0.2500
Dy 0.7297 0.9797 0.7500
Rh 0.0280 0.2780 0.7500
Rh 0.3068 0.0000 0.8068
Rh 0.3068 0.5000 0.3068
Rh 0.6932 0.0000 0.1932
Rh 0.6932 0.5000 0.6932
Rh 0.9720 0.7220 0.2500
Pb 0.0000 0.5000 0.5000
Pb 0.5000 0.5000 0.0000

# 6
The following is a PBE-GGA calculation of a relaxed DyRh2Pb crystal, from Alexandria via LeMat-Bulk.

**E_form**: -561 meV/atom
**DOS at the Fermi energy**: 0.35 states/eV/atom
**Electronic total energy**: -6.314 eV per atom
**Spin magnetization**: 0.00 μB per formula unit

a b c (Å): 4.5421 4.5421 3.7208
angles (deg): 90.00 90.00 90.00
Sites, in units of the cell vectors:
Dy 0.0000 0.0000 0.0000
Rh 0.0000 0.5000 0.5000
Rh 0.5000 0.0000 0.5000
Pb 0.5000 0.5000 0.0000